[1]
# GGA-PBE Zr2RhW, optimized geometry
data_Zr2RhW
_chemical_formula_sum 'Zr2 Rh1 W1'
_cell_length_a 2.949
_cell_length_b 4.459
_cell_length_c 5.631
_cell_angle_alpha 90.00
_cell_angle_beta 98.82
_cell_angle_gamma 90.00
_symmetry_space_group_name_H-M 'P 1 2/m 1'
_symmetry_Int_Tables_number 10
loop_
_symmetry_equiv_pos_as_xyz
'x,y,z'
'-x,-y,-z'
'-x,y,-z'
'x,-y,z'
loop_
_atom_site_label
_atom_site_fract_x
_atom_site_fract_y
_atom_site_fract_z
Zr1 0.241 0.000 0.251
Rh1 0.500 0.500 0.000
W1 0.000 0.500 0.500
# E: -9.434 eV per atom
# Calculated volume: 73 Å³/cell
# Crystal system: monoclinic
# Energy of formation: -0.0842 eV per atom

[2]
# GGA-PBE RbIN, optimized geometry
data_RbIN
_chemical_formula_sum 'Rb4 I4 N4'
_cell_length_a 11.000
_cell_length_b 5.237
_cell_length_c 10.354
_cell_angle_alpha 90.00
_cell_angle_beta 99.34
_cell_angle_gamma 90.00
_symmetry_space_group_name_H-M 'P 1 21/c 1'
_symmetry_Int_Tables_number 14
loop_
_symmetry_equiv_pos_as_xyz
'x,y,z'
'-x,-y,-z'
'-x,y+1/2,-z+1/2'
'x,-y+1/2,z+1/2'
loop_
_atom_site_label
_atom_site_fract_x
_atom_site_fract_y
_atom_site_fract_z
Rb1 0.164 0.249 0.403
I1 0.178 0.749 0.156
N1 0.456 0.052 0.985
# E: -4.586 eV per atom
# Calculated volume: 589 Å³/cell
# Crystal system: monoclinic
# Energy relative to the elements, uncorrected: -281 kJ/mol of formula units

[3]
# GGA-PBE Au3IF, optimized geometry
data_Au3IF
_chemical_formula_sum 'Au3 I1 F1'
_cell_length_a 5.335
_cell_length_b 5.335
_cell_length_c 5.335
_cell_angle_alpha 90.00
_cell_angle_beta 90.00
_cell_angle_gamma 90.00
_symmetry_space_group_name_H-M 'P m -3 m'
_symmetry_Int_Tables_number 221
_symmetry_space_group_name_Hall '-P 4 2 3'
loop_
_atom_site_label
_atom_site_fract_x
_atom_site_fract_y
_atom_site_fract_z
Au1 0.000 0.000 0.500
I1 0.000 0.000 0.000
F1 0.500 0.500 0.500
# E: -2.074 eV per atom
# Calculated volume: 152 Å³/cell
# Crystal system: cubic
# Energy relative to the elements, uncorrected: 278 kJ/mol of formula units

[4]
# GGA-PBE TaCd2Sb, optimized geometry
data_TaCd2Sb
_chemical_formula_sum 'Ta1 Cd2 Sb1'
_cell_length_a 3.676
_cell_length_b 3.676
_cell_length_c 6.307
_cell_angle_alpha 90.00
_cell_angle_beta 90.00
_cell_angle_gamma 90.00
_symmetry_space_group_name_H-M 'P 4 m m'
_symmetry_Int_Tables_number 99
loop_
_symmetry_equiv_pos_as_xyz
'x,y,z'
'-y,x,z'
'-x,-y,z'
'y,-x,z'
'-x,y,z'
'y,x,z'
'x,-y,z'
'-y,-x,z'
loop_
_atom_site_label
_atom_site_fract_x
_atom_site_fract_y
_atom_site_fract_z
Ta1 0.000 0.000 0.000
Cd1 0.000 0.000 0.504
Cd2 0.500 0.500 0.274
Sb1 0.500 0.500 0.801
# E: -4.267 eV per atom
# Calculated volume: 85 Å³/cell
# Crystal system: tetragonal
# Energy relative to the elements, uncorrected: 71 kJ/mol of formula units

[5]
# GGA-PBE Na2PuHg3O6, optimized geometry
data_Na2PuHg3O6
_chemical_formula_sum 'Na4 Pu2 Hg6 O12'
_cell_length_a 6.273
_cell_length_b 10.538
_cell_length_c 6.413
_cell_angle_alpha 90.00
_cell_angle_beta 90.75
_cell_angle_gamma 90.00
_symmetry_space_group_name_H-M 'C 1 2/m 1'
_symmetry_Int_Tables_number 12
loop_
_symmetry_equiv_pos_as_xyz
'x,y,z'
'-x,-y,-z'
'-x,y,-z'
'x,-y,z'
'x+1/2,y+1/2,z'
'-x+1/2,-y+1/2,-z'
'-x+1/2,y+1/2,-z'
'x+1/2,-y+1/2,z'
loop_
_atom_site_label
_atom_site_fract_x
_atom_site_fract_y
_atom_site_fract_z
Na1 0.000 0.168 0.000
Pu1 0.000 0.500 0.000
Hg1 0.000 0.000 0.500
Hg2 0.000 0.338 0.500
O1 0.120 0.345 0.206
O2 0.230 0.000 0.119
# E: -5.368 eV per atom
# Calculated volume: 424 Å³/cell
# Crystal system: monoclinic
# Energy relative to the elements, uncorrected: -1620 kJ/mol of formula units

[6]
# GGA-PBE LiHoThNb, optimized geometry
data_LiHoThNb
_chemical_formula_sum 'Li4 Ho4 Th4 Nb4'
_cell_length_a 7.248
_cell_length_b 7.248
_cell_length_c 7.248
_cell_angle_alpha 90.00
_cell_angle_beta 90.00
_cell_angle_gamma 90.00
_symmetry_space_group_name_H-M 'F -4 3 m'
_symmetry_Int_Tables_number 216
_symmetry_space_group_name_Hall 'F -4 2 3'
loop_
_atom_site_label
_atom_site_fract_x
_atom_site_fract_y
_atom_site_fract_z
Li1 0.000 0.000 0.000
Ho1 0.250 0.250 0.250
Th1 0.250 0.250 0.750
Nb1 0.000 0.000 0.500
# E: -5.780 eV per atom
# Calculated volume: 381 Å³/cell
# Crystal system: cubic
# Energy of formation: 0.2149 eV per atom